Computed, not measured: a geometry-optimized Tb2PrSm12 structure at the PBE level of DFT.

Unit cell a=6.7833 b=6.7833 c=24.9479 alpha=90.00 beta=90.00 gamma=116.38
Atoms (fractional coordinates):
Sm: 0.7483 0.2483 0.8687
Sm: 0.2525 0.2475 0.0775
Sm: 0.2731 0.2269 0.5598
Sm: 0.2475 0.2525 0.9225
Sm: 0.7731 0.7269 0.4402
Sm: 0.0000 0.0000 0.7993
Sm: 0.7475 0.7525 0.0775
Sm: 0.0000 0.0000 0.6735
Sm: 0.7269 0.7731 0.5598
Sm: 0.7319 0.2319 0.4156
Sm: 0.0000 0.0000 0.3265
Sm: 0.2483 0.7483 0.1313
Sm: 0.5000 0.5000 0.6735
Sm: 0.2517 0.7517 0.8687
Sm: 0.7517 0.2517 0.1313
Sm: 0.7525 0.7475 0.9225
Sm: 0.5000 0.5000 0.3265
Sm: 0.2269 0.2731 0.4402
Sm: 0.5000 0.5000 0.2007
Sm: 0.0000 0.0000 0.2007
Sm: 0.2319 0.7319 0.5844
Sm: 0.5000 0.5000 0.7993
Sm: 0.2681 0.7681 0.4156
Sm: 0.7681 0.2681 0.5844
Tb: 0.0000 0.5000 0.7326
Tb: 0.5000 0.0000 0.2674
Tb: 0.5000 0.0000 0.7278
Tb: 0.0000 0.5000 0.2722
Pr: 0.5000 0.0000 0.9987
Pr: 0.0000 0.5000 0.0013

Results
For the magnetic moment, the calculation gives 0.00 μB per cell. For the formation energy, the calculation gives 0.16 eV/atom.

Computed, not measured: a geometry-optimized Tb6Pr4Sm structure at the PBE level of DFT.

Unit cell a=7.7603 b=7.7603 c=8.5898 alpha=116.85 beta=116.85 gamma=90.00
Atoms (fractional coordinates):
Tb: 0.9265 0.4431 0.3696
Tb: 0.5000 0.0000 0.0000
Tb: 0.5569 0.5569 0.6304
Tb: 0.0000 0.5000 0.0000
Tb: 0.0735 0.0735 0.6304
Tb: 0.4431 0.9265 0.3696
Pr: 0.2524 0.2524 0.1536
Pr: 0.9012 0.9012 0.1536
Pr: 0.0988 0.7476 0.8464
Pr: 0.7476 0.0988 0.8464
Sm: 0.5000 0.5000 0.0000

Results
For the magnetic moment, the calculation gives 0.00 μB per cell. For the formation energy, the calculation gives 0.43 eV/atom. The relative energy among the computed polymorphs comes out at 137 meV per atom.

Computed, not measured: a geometry-optimized Tb3Pr4Sm5 structure at the PBE level of DFT.

Unit cell a=6.0216 b=8.7283 c=9.8437 alpha=105.85 beta=72.19 gamma=69.82
Atoms (fractional coordinates):
Sm: 0.3722 0.0548 0.2008
Sm: 0.5000 0.5000 0.5000
Sm: 0.2169 0.4549 0.1114
Sm: 0.6278 0.9452 0.7992
Sm: 0.7831 0.5451 0.8886
Pr: 0.1406 0.7761 0.9427
Pr: 0.8594 0.2239 0.0573
Pr: 0.1631 0.0531 0.6207
Pr: 0.8369 0.9469 0.3793
Tb: 0.0000 0.5000 0.5000
Tb: 0.4798 0.3111 0.7293
Tb: 0.5202 0.6889 0.2707

Results
For the magnetic moment, the calculation gives 0.00 μB per cell. For the formation energy, the calculation gives 0.21 eV/atom.

Computed, not measured: a geometry-optimized Tb5Pr4Sm2 structure at the PBE level of DFT.

Unit cell a=5.7478 b=6.7114 c=10.1252 alpha=90.89 beta=106.49 gamma=90.00
Atoms (fractional coordinates):
Tb: 0.7908 0.5987 0.5815
Tb: 0.1308 0.8931 0.2617
Tb: 0.2092 0.4013 0.4185
Tb: 0.8692 0.1069 0.7383
Tb: 0.5000 0.0000 0.0000
Sm: 0.4024 0.4468 0.8049
Sm: 0.5976 0.5532 0.1951
Pr: 0.9798 0.7146 0.9595
Pr: 0.6949 0.0769 0.3899
Pr: 0.3051 0.9231 0.6101
Pr: 0.0202 0.2854 0.0405

Results
For the magnetic moment, the calculation gives 0.00 μB per cell. For the formation energy, the calculation gives 0.10 eV/atom. The relative energy among the computed polymorphs comes out at 0 meV per atom.

Computed, not measured: a geometry-optimized Tb8Pr5Sm structure at the PBE level of DFT.

Unit cell a=3.5765 b=17.0107 c=8.9646 alpha=62.47 beta=101.51 gamma=90.00
Atoms (fractional coordinates):
Tb: 0.9225 0.7214 0.8449
Tb: 0.2162 0.8537 0.4324
Tb: 0.8535 0.4393 0.7071
Tb: 0.0775 0.2786 0.1550
Tb: 0.5810 0.7764 0.1619
Tb: 0.1464 0.5607 0.2928
Tb: 0.7838 0.1463 0.5677
Tb: 0.4191 0.2236 0.8381
Pr: 0.7129 0.3568 0.4258
Pr: 0.2871 0.6432 0.5741
Pr: 0.0000 0.0000 0.0001
Pr: 0.3555 0.9396 0.7110
Pr: 0.6446 0.0603 0.2891
Sm: 0.5000 0.5000 0.9999

Results
For the magnetic moment, the calculation gives 0.00 μB per cell. For the formation energy, the calculation gives 0.05 eV/atom.

Computed, not measured: a geometry-optimized Tb10Pr4Sm structure at the PBE level of DFT.

Unit cell a=10.6972 b=8.7466 c=8.7466 alpha=68.04 beta=52.30 gamma=52.30
Atoms (fractional coordinates):
Tb: 0.5491 0.9057 0.6762
Tb: 0.4509 0.0943 0.3238
Tb: 0.8690 0.9057 0.6762
Tb: 0.7747 0.6762 0.0943
Tb: 0.5452 0.3238 0.9057
Tb: 0.2253 0.3238 0.9057
Tb: 0.1310 0.0943 0.3238
Tb: 0.7500 0.5000 0.5000
Tb: 0.4548 0.6762 0.0943
Tb: 0.2500 0.5000 0.5000
Pr: 0.9361 0.3961 0.7317
Pr: 0.0639 0.6039 0.2683
Pr: 0.3322 0.7317 0.6039
Pr: 0.6678 0.2683 0.3961
Sm: 0.0000 0.0000 0.0000

Results
For the magnetic moment, the calculation gives 0.00 μB per cell. For the formation energy, the calculation gives 0.34 eV/atom.

| no. | N(E_F) (states/eV per cell) |
| --- | --- |
| 1 | 44.5 |
| 2 | 14.8 |
| 3 | 20.6 |
| 4 | 16.0 |
| 5 | 19.7 |
| 6 | 22.3 |